# 1
# UVTe2, relaxed, DFT PBE
# Raw formation energy, eV per atom: 0.1140
# Energy relative to the lowest polymorph listed for this composition, meV per atom: 192
# Size of the total moment, μB per formula unit: 3.35
data_UVTe2
_space_group_name_H-M_alt 'R -3 m'
_space_group_IT_number 166
_space_group_name_Hall '-R 3 2"'
_cell_length_a 3.3920
_cell_length_b 3.3920
_cell_length_c 29.8288
_cell_angle_alpha 90.00
_cell_angle_beta 90.00
_cell_angle_gamma 120.00
loop_
_atom_site_label
_atom_site_fract_x
_atom_site_fract_y
_atom_site_fract_z
U1 0.0000 0.0000 0.0000
V1 0.0000 0.0000 0.5000
Te1 0.0000 0.0000 0.1059

---

# 2
# Ti7Ga5, relaxed, DFT PBE
# Formation enthalpy at 0 K, eV per atom: -0.297
# Size of the total moment, μB per formula unit: 1.29
data_Ti7Ga5
_space_group_name_H-M_alt 'C 1 2/m 1'
_space_group_IT_number 12
_space_group_name_Hall '-C 2y'
_cell_length_a 9.548
_cell_length_b 4.442
_cell_length_c 9.865
_cell_angle_alpha 90.00
_cell_angle_beta 109.50
_cell_angle_gamma 90.00
loop_
_atom_site_label
_atom_site_fract_x
_atom_site_fract_y
_atom_site_fract_z
Ti1 0.000 0.000 0.000
Ti2 0.081 0.500 0.256
Ti3 0.116 0.000 0.771
Ti4 0.156 0.000 0.510
Ga1 0.000 0.500 0.500
Ga2 0.162 0.500 0.971
Ga3 0.236 0.000 0.274

---

# 3
# Nd2Tl3Zn, relaxed, DFT PBE
# Formation enthalpy at 0 K, eV per atom: -0.269
# Size of the total moment, μB per formula unit: 0.00
data_Nd2Tl3Zn
_space_group_name_H-M_alt 'P m m 2'
_space_group_IT_number 25
_space_group_name_Hall 'P 2 -2'
_cell_length_a 3.796
_cell_length_b 4.898
_cell_length_c 8.732
_cell_angle_alpha 90.00
_cell_angle_beta 90.00
_cell_angle_gamma 90.00
loop_
_atom_site_label
_atom_site_fract_x
_atom_site_fract_y
_atom_site_fract_z
Nd1 0.000 0.000 0.000
Nd2 0.000 0.500 0.487
Tl1 0.500 0.000 0.637
Tl2 0.500 0.500 0.177
Tl3 0.500 0.500 0.831
Zn1 0.500 0.000 0.320

---

# 4
# Tb2DySi6, relaxed, DFT PBE
# Raw formation energy, eV per atom: -0.5388
# Size of the total moment, μB per formula unit: 0.00
data_Tb2DySi6
_space_group_name_H-M_alt 'P 6/m m m'
_space_group_IT_number 191
_space_group_name_Hall '-P 6 2'
_cell_length_a 7.0954
_cell_length_b 7.0954
_cell_length_c 3.9611
_cell_angle_alpha 90.00
_cell_angle_beta 90.00
_cell_angle_gamma 120.00
loop_
_atom_site_label
_atom_site_fract_x
_atom_site_fract_y
_atom_site_fract_z
Tb1 0.3333 0.6667 0.0000
Dy1 0.0000 0.0000 0.0000
Si1 0.0000 0.3330 0.5000

---

# 5
# YBeMo2, relaxed, DFT PBE
# Formation enthalpy at 0 K, eV per atom: 0.691
# Size of the total moment, μB per formula unit: 0.00
data_YBeMo2
_space_group_name_H-M_alt 'I -4 2 d'
_space_group_IT_number 122
_space_group_name_Hall 'I -4 2bw'
_cell_length_a 3.874
_cell_length_b 3.874
_cell_length_c 19.393
_cell_angle_alpha 90.00
_cell_angle_beta 90.00
_cell_angle_gamma 90.00
loop_
_atom_site_label
_atom_site_fract_x
_atom_site_fract_y
_atom_site_fract_z
Y1 0.000 0.000 0.000
Be1 0.000 0.000 0.500
Mo1 0.214 0.750 0.625

---

# 6
# YEr2Sc3As6, relaxed, DFT PBE
# Formation enthalpy at 0 K, eV per atom: -1.444
# Size of the total moment, μB per formula unit: 0.00
data_YEr2Sc3As6
_space_group_name_H-M_alt 'C 1 2/m 1'
_space_group_IT_number 12
_space_group_name_Hall '-C 2y'
_cell_length_a 6.917
_cell_length_b 11.980
_cell_length_c 6.897
_cell_angle_alpha 90.00
_cell_angle_beta 109.50
_cell_angle_gamma 90.00
loop_
_atom_site_label
_atom_site_fract_x
_atom_site_fract_y
_atom_site_fract_z
Y1 0.000 0.000 0.000
Er1 0.000 0.333 0.000
Sc1 0.000 0.166 0.500
Sc2 0.000 0.500 0.500
As1 0.245 0.332 0.736
As2 0.247 0.000 0.737

---

# 7
# Ce2GaSiNi6, relaxed, DFT PBE
# Raw formation energy, eV per atom: -0.4027
# Size of the total moment, μB per formula unit: 0.20
data_Ce2GaSiNi6
_space_group_name_H-M_alt 'P -1'
_space_group_IT_number 2
_space_group_name_Hall '-P 1'
_cell_length_a 5.301
_cell_length_b 6.016
_cell_length_c 6.162
_cell_angle_alpha 62.43
_cell_angle_beta 69.37
_cell_angle_gamma 69.55
loop_
_atom_site_label
_atom_site_fract_x
_atom_site_fract_y
_atom_site_fract_z
Ce1 0.131 0.320 0.284
Ga1 0.000 0.000 0.000
Si1 0.500 0.500 0.500
Ni1 0.306 0.698 0.784
Ni2 0.397 0.111 0.656
Ni3 0.443 0.770 0.098

---

# 8
# B4SbO7, relaxed, DFT PBE
# Raw formation energy, eV per atom: -1.9900
# Size of the total moment, μB per formula unit: 0.99
data_B4SbO7
_space_group_name_H-M_alt 'P m n 21'
_space_group_IT_number 31
_space_group_name_Hall 'P 2ac -2'
_cell_length_a 11.063
_cell_length_b 4.591
_cell_length_c 4.293
_cell_angle_alpha 90.00
_cell_angle_beta 90.00
_cell_angle_gamma 90.00
loop_
_atom_site_label
_atom_site_fract_x
_atom_site_fract_y
_atom_site_fract_z
B1 0.122 0.167 0.000
B2 0.246 0.325 0.486
Sb1 0.000 0.605 0.460
O1 0.000 0.219 0.890
O2 0.129 0.259 0.336
O3 0.161 0.878 0.941
O4 0.214 0.385 0.830